[1]
Compound: Tm6ZrSc2
Source: Alexandria via LeMat-Bulk
Functional: PBE-GGA
Structure: optimized geometry

Distance to the lowest polymorph of the same formula ... 0.053 eV per atom
ΔE_f ... 0.192 eV/atom

Cell lengths 8.7211, 16.7557, 3.4681 Å; angles 90.00, 90.00, 90.00 degrees
Closest atoms and distances in Å follow each position.
Space group Cmmm (No. 65)
Unique sites:
Tm: 0.1819 0.1639 0.0000 (multiplicity 8)  6 Tm 3.12-3.47, 2 Sc 3.28
Tm: 0.1912 0.0000 0.5000 (multiplicity 4)  2 Zr 3.20, 7 Tm 3.25-3.47
Zr: 0.0000 0.5000 0.0000 (multiplicity 2)  4 Tm 3.20, 4 Sc 3.41, 2 Zr 3.47
Sc: 0.0000 0.3248 0.5000 (multiplicity 4)  8 Tm 3.28-3.58, 2 Zr 3.41, 2 Sc 3.47

---

[2]
Compound: Tm2ZrSc4
Source: Alexandria via LeMat-Bulk
Functional: PBE-GGA
Structure: optimized geometry

Distance to the lowest polymorph of the same formula ... 0.564 eV per atom
ΔE_f ... 0.587 eV/atom

Cell lengths 5.0105, 5.0105, 16.3424 Å; angles 90.00, 90.00, 90.00 degrees
Closest atoms and distances in Å follow each position.
Space group I4/mmm (No. 139)
Unique sites:
Tm: 0.0000 0.0000 0.1281 (multiplicity 4)  9 Sc 3.25-3.62
Zr: 0.0000 0.0000 0.5000 (multiplicity 2)  4 Sc 2.51
Sc: 0.0000 0.0000 0.3268 (multiplicity 4)  1 Zr 2.83
Sc: 0.0000 0.5000 0.0000 (multiplicity 4)  2 Zr 2.51

---

[3]
Compound: Tm2Zr5Sc4
Source: Alexandria via LeMat-Bulk
Functional: PBE-GGA
Structure: optimized geometry

ΔE_f ... 0.049 eV/atom

Cell lengths 3.2597, 8.6626, 9.7564 Å; angles 85.72, 89.96, 79.18 degrees
Closest atoms and distances in Å follow each position.
Space group P-1 (No. 2)
Unique sites:
Tm: 0.0938 0.3106 0.4514 (multiplicity 2)  5 Zr 3.13-3.29, 3 Tm 3.26-3.43, 4 Sc 3.34-3.42
Zr: 0.0000 0.5000 0.0000 (multiplicity 1)  6 Sc 3.15-3.30, 6 Zr 3.23-3.26
Zr: 0.2683 0.9644 0.3619 (multiplicity 2)  3 Tm 3.13-3.29, 6 Zr 3.21-3.26, 3 Sc 3.27-3.40
Zr: 0.3628 0.7731 0.8230 (multiplicity 2)  6 Zr 3.21-3.26, 4 Sc 3.22-3.26, 2 Tm 3.26
Sc: 0.1836 0.1340 0.9101 (multiplicity 2)  6 Sc 3.21-3.26, 6 Zr 3.22-3.30
Sc: 0.4536 0.5908 0.2592 (multiplicity 2)  4 Zr 3.15-3.40, 4 Sc 3.21-3.26, 4 Tm 3.34-3.42

---

Density / g cm⁻³: 7.8 4.9 6.0